VASP calculation (PBE) on U2Ga3Sn3 after structural relaxation.

## Properties
- E_form (eV/atom) = -0.187

abc: 4.3668 4.4550 9.0736
angles: 90.00 90.00 90.00
With the nearest neighbours (Å) after each atom.
Element x y z (fractional)
U 0.0000 0.0000 0.7552  6 Ga 3.11-3.12, 6 Sn 3.15-3.21
U 0.0000 0.0000 0.2448  6 Ga 3.11-3.12, 6 Sn 3.15-3.21
Ga 0.5000 0.5000 0.7631  6 Sn 3.06-3.27, 2 Ga 3.10, 4 U 3.12
Ga 0.5000 0.5000 0.2369  6 Sn 3.06-3.27, 2 Ga 3.10, 4 U 3.12
Ga 0.5000 0.0000 0.0000  4 Ga 3.10, 4 U 3.11, 4 Sn 3.12
Sn 0.5000 0.0000 0.5000  4 Sn 3.12, 4 U 3.18, 4 Ga 3.27
Sn 0.0000 0.5000 0.0000  8 Ga 3.06-3.12, 4 U 3.15
Sn 0.0000 0.5000 0.5000  4 Sn 3.12, 4 U 3.21, 4 Ga 3.24

VASP calculation (PBE) on PrY3Ho2Te6 after structural relaxation.

## Properties
- formation energy (no corrections) (eV/atom) = -1.31

abc: 4.3591 8.8174 9.7855
angles: 102.26 102.87 90.00
With the nearest neighbours (Å) after each atom.
Element x y z (fractional)
Pr 0.5000 0.0000 0.0000  6 Te 3.16-3.22
Y 0.5000 0.5000 0.0000  6 Te 3.04-3.14
Y 0.8404 0.1657 0.6808  6 Te 3.02-3.14
Y 0.1596 0.8343 0.3192  6 Te 3.02-3.14
Ho 0.8364 0.6701 0.6728  6 Te 3.00-3.12
Ho 0.1636 0.3299 0.3272  6 Te 3.00-3.12
Te 0.3269 0.9107 0.6537  2 Ho 3.07, 3 Y 3.10-3.11, 1 Pr 3.22
Te 0.6688 0.5834 0.3376  3 Ho 3.11-3.12, 3 Y 3.14
Te 0.6731 0.0893 0.3463  2 Ho 3.07, 3 Y 3.10-3.11, 1 Pr 3.22
Te 0.0026 0.2607 0.0051  1 Ho 3.00, 3 Y 3.02-3.04, 2 Pr 3.16
Te 0.9974 0.7393 0.9949  1 Ho 3.00, 3 Y 3.02-3.04, 2 Pr 3.16
Te 0.3312 0.4166 0.6624  3 Ho 3.11-3.12, 3 Y 3.14

VASP calculation (PBE) on Ta2SiCl after structural relaxation.

## Properties
- offset from the most stable computed form (meV/atom) = 80
- formation energy (no corrections) (eV/atom) = -0.01

abc: 4.5795 2.8633 5.2597
angles: 74.34 90.00 90.00
With the nearest neighbours (Å) after each atom.
Element x y z (fractional)
Cl 0.0000 0.3276 0.4672  3 Ta 2.44-2.46
Si 0.5000 0.6733 0.7806  7 Ta 2.63-2.84, 2 Si 2.86
Ta 0.0000 0.0874 0.9522  1 Cl 2.46
Ta 0.5000 0.4117 0.3000  2 Cl 2.44, 1 Si 2.63

VASP calculation (PBE) on HoZrPb after structural relaxation.

## Properties
- offset from the most stable computed form (meV/atom) = 388
- E_form (eV/atom) = -0.009

abc: 3.3834 5.2526 5.2526
angles: 120.00 90.00 90.00
With the nearest neighbours (Å) after each atom.
Element x y z (fractional)
Pb 0.8360 0.6667 0.3333  3 Zr 3.03, 2 Pb 3.38
Ho 0.3325 0.3333 0.6667  2 Ho 3.38, 6 Pb 3.47-3.48, 6 Zr 3.47
Zr 0.8315 0.0000 0.0000  3 Pb 3.03, 2 Zr 3.38

VASP calculation (PBE) on CrInOs after structural relaxation.

## Properties
- offset from the most stable computed form (meV/atom) = 0
- E_form (eV/atom) = 0.249

abc: 5.9856 5.9856 5.9856
angles: 151.95 151.95 40.09
With the nearest neighbours (Å) after each atom.
Element x y z (fractional)
Cr 0.0201 0.0201 0.0000  4 Os 2.48
In 0.3360 0.3360 0.0000  4 In 2.90, 4 Cr 2.92, 4 Os 2.98
Os 0.6439 0.6439 0.0000  4 Cr 2.48

VASP calculation (PBE) on TcRhPb after structural relaxation.

## Properties
- offset from the most stable computed form (meV/atom) = 155
- E_form (eV/atom) = 0.480

abc: 4.4131 4.4131 4.4131
angles: 60.00 60.00 60.00
With the nearest neighbours (Å) after each atom.
Element x y z (fractional)
Pb 0.5000 0.5000 0.5000  4 Rh 2.70
Rh 0.7500 0.7500 0.7500  4 Pb 2.70, 4 Tc 2.70
Tc 0.0000 0.0000 0.0000  4 Rh 2.70

VASP calculation (PBE) on Ca3MnN3 after structural relaxation.

## Properties
- offset from the most stable computed form (meV/atom) = 188
- formation energy (no corrections) (eV/atom) = -0.68

abc: 3.4538 10.5618 11.3234
angles: 90.00 90.00 90.00
With the nearest neighbours (Å) after each atom.
Element x y z (fractional)
Ca 0.7500 0.7210 0.8017  5 N 2.48-2.51
Ca 0.2500 0.7790 0.3017  5 N 2.48-2.51
Ca 0.2500 0.2790 0.1983  5 N 2.48-2.51
Ca 0.7500 0.2210 0.6983  5 N 2.48-2.51
Ca 0.7500 0.1298 0.9874  5 N 2.39-2.66
Ca 0.2500 0.3702 0.4874  5 N 2.39-2.66
Ca 0.2500 0.8702 0.0126  5 N 2.39-2.66
Ca 0.7500 0.6298 0.5126  5 N 2.39-2.66
Ca 0.7500 0.9151 0.5944  3 N 2.42-2.48
Ca 0.2500 0.5849 0.0944  3 N 2.42-2.48
Ca 0.2500 0.0849 0.4056  3 N 2.42-2.48
Ca 0.7500 0.4151 0.9056  3 N 2.42-2.48
Mn 0.7500 0.9692 0.2069  4 N 1.96-2.03
Mn 0.2500 0.5308 0.7069  4 N 1.96-2.03
Mn 0.2500 0.0308 0.7931  4 N 1.96-2.03
Mn 0.7500 0.4692 0.2931  4 N 1.96-2.03
N 0.7500 0.9514 0.8506  2 Mn 2.03
N 0.2500 0.5486 0.3506  2 Mn 2.03
N 0.2500 0.0486 0.1494  2 Mn 2.03
N 0.7500 0.4514 0.6494  2 Mn 2.03
N 0.7500 0.9272 0.3755  1 Mn 1.96
N 0.2500 0.5728 0.8755  1 Mn 1.96
N 0.2500 0.0728 0.6245  1 Mn 1.96
N 0.7500 0.4272 0.1245  1 Mn 1.96
N 0.7500 0.7950 0.1410  1 Mn 1.99
N 0.2500 0.7050 0.6410  1 Mn 1.99
N 0.2500 0.2050 0.8590  1 Mn 1.99
N 0.7500 0.2950 0.3590  1 Mn 1.99

VASP calculation (PBE) on CuAsPO2 after structural relaxation.

## Properties
- offset from the most stable computed form (meV/atom) = 364
- formation energy (no corrections) (eV/atom) = 0.29

abc: 3.7437 3.7437 4.6774
angles: 90.00 90.00 90.00
With the nearest neighbours (Å) after each atom.
Element x y z (fractional)
P 0.0000 0.0000 0.5000  2 Cu 2.34
As 0.5000 0.5000 0.5000  4 P 2.65
O 0.0000 0.5000 0.0000  2 Cu 1.87
O 0.5000 0.0000 0.0000  2 Cu 1.87
Cu 0.0000 0.0000 0.0000  4 O 1.87

For each record above, in turn, the calculated density of states at the Fermi level values are 11.42; 6.97; 1.72; 4.61; 3.13; 2.69; 1.81; 3.92 states/eV/f.u..